[1]
MgIn2Hg4 | GGA-PBE | relaxed

The structure in CIF format:
```
data_MgIn2Hg4
_chemical_formula_sum 'Mg2 In4 Hg8'
_cell_length_a 7.279
_cell_length_b 6.608
_cell_length_c 8.001
_cell_angle_alpha 90.00
_cell_angle_beta 108.62
_cell_angle_gamma 90.00
_space_group_name_H-M_alt 'P 1 21/m 1'
_space_group_IT_number 11
loop_
_space_group_symop_operation_xyz
'x,y,z'
'-x,-y,-z'
'-x,y+1/2,-z'
'x,-y+1/2,z'
loop_
_atom_site_label
_atom_site_fract_x
_atom_site_fract_y
_atom_site_fract_z
Mg1 0.239 0.250 0.294
In1 0.163 0.750 0.067
In2 0.299 0.750 0.545
Hg1 0.079 0.017 0.728
Hg2 0.426 0.250 0.667
Hg3 0.445 0.250 0.052
```

Results
**Energy of formation**: -2 meV per atom
**ΔE to the lowest computed polymorph**: 0.27 eV per formula unit
**Calculated total energy**: -1.18 eV per atom

---

[2]
Mg2In3Hg2 | GGA-PBE | relaxed

The structure in CIF format:
```
data_Mg2In3Hg2
_chemical_formula_sum 'Mg4 In6 Hg4'
_cell_length_a 3.421
_cell_length_b 30.693
_cell_length_c 3.259
_cell_angle_alpha 90.00
_cell_angle_beta 90.00
_cell_angle_gamma 90.00
_space_group_name_H-M_alt 'C m m m'
_space_group_IT_number 65
_space_group_name_Hall '-C 2 2'
loop_
_atom_site_label
_atom_site_fract_x
_atom_site_fract_y
_atom_site_fract_z
Mg1 0.000 0.149 0.000
In1 0.000 0.000 0.000
In2 0.000 0.421 0.500
Hg1 0.000 0.291 0.500
```

Results
**Energy of formation**: -65 meV per atom
**Calculated total energy**: -1.78 eV per atom

---

[3]
Mg2InHg | GGA-PBE | relaxed

The structure in CIF format:
```
data_Mg2InHg
_chemical_formula_sum 'Mg2 In1 Hg1'
_cell_length_a 3.639
_cell_length_b 4.965
_cell_length_c 4.967
_cell_angle_alpha 90.00
_cell_angle_beta 90.00
_cell_angle_gamma 90.00
_space_group_name_H-M_alt 'P m m 2'
_space_group_IT_number 25
loop_
_space_group_symop_operation_xyz
'x,y,z'
'-x,-y,z'
'-x,y,z'
'x,-y,z'
loop_
_atom_site_label
_atom_site_fract_x
_atom_site_fract_y
_atom_site_fract_z
Mg1 0.000 0.000 0.000
Mg2 0.000 0.500 0.498
In1 0.500 0.000 0.500
Hg1 0.500 0.500 0.998
```

Results
**Energy of formation**: -144 meV per atom
**Calculated total energy**: -1.70 eV per atom

---

[4]
Mg2InHg8 | GGA-PBE | relaxed

The structure in CIF format:
```
data_Mg2InHg8
_chemical_formula_sum 'Mg4 In2 Hg16'
_cell_length_a 8.655
_cell_length_b 11.528
_cell_length_c 5.887
_cell_angle_alpha 90.00
_cell_angle_beta 95.70
_cell_angle_gamma 90.00
_space_group_name_H-M_alt 'C 1 2/m 1'
_space_group_IT_number 12
loop_
_space_group_symop_operation_xyz
'x,y,z'
'-x,-y,-z'
'-x,y,-z'
'x,-y,z'
'x+1/2,y+1/2,z'
'-x+1/2,-y+1/2,-z'
'-x+1/2,y+1/2,-z'
'x+1/2,-y+1/2,z'
loop_
_atom_site_label
_atom_site_fract_x
_atom_site_fract_y
_atom_site_fract_z
Mg1 0.000 0.157 0.000
In1 0.000 0.500 0.500
Hg1 0.000 0.211 0.500
Hg2 0.183 0.000 0.295
Hg3 0.185 0.362 0.155
```

Results
**Energy of formation**: -46 meV per atom
**Calculated total energy**: -0.80 eV per atom

---

[5]
MgIn2Hg4 | GGA-PBE | relaxed

The structure in CIF format:
```
data_MgIn2Hg4
_chemical_formula_sum 'Mg2 In4 Hg8'
_cell_length_a 5.218
_cell_length_b 5.218
_cell_length_c 13.459
_cell_angle_alpha 90.00
_cell_angle_beta 90.00
_cell_angle_gamma 90.00
_space_group_name_H-M_alt 'I 4/m m m'
_space_group_IT_number 139
_space_group_name_Hall '-I 4 2'
loop_
_atom_site_label
_atom_site_fract_x
_atom_site_fract_y
_atom_site_fract_z
Mg1 0.000 0.000 0.000
In1 0.000 0.000 0.256
Hg1 0.000 0.500 0.111
```

Results
**Energy of formation**: -41 meV per atom
**ΔE to the lowest computed polymorph**: 0.00 eV per formula unit
**Calculated total energy**: -1.22 eV per atom

---

[6]
MgIn5Hg6 | GGA-PBE | relaxed

The structure in CIF format:
```
data_MgIn5Hg6
_chemical_formula_sum 'Mg2 In10 Hg12'
_cell_length_a 9.159
_cell_length_b 9.878
_cell_length_c 6.984
_cell_angle_alpha 90.00
_cell_angle_beta 92.09
_cell_angle_gamma 90.00
_space_group_name_H-M_alt 'C 1 2/m 1'
_space_group_IT_number 12
loop_
_space_group_symop_operation_xyz
'x,y,z'
'-x,-y,-z'
'-x,y,-z'
'x,-y,z'
'x+1/2,y+1/2,z'
'-x+1/2,-y+1/2,-z'
'-x+1/2,y+1/2,-z'
'x+1/2,-y+1/2,z'
loop_
_atom_site_label
_atom_site_fract_x
_atom_site_fract_y
_atom_site_fract_z
Mg1 0.000 0.000 0.000
In1 0.000 0.000 0.500
In2 0.000 0.333 0.000
In3 0.000 0.335 0.500
Hg1 0.225 0.162 0.245
Hg2 0.239 0.500 0.237
```

Results
**Energy of formation**: -9 meV per atom
**Calculated total energy**: -1.43 eV per atom

---

[7]
Mg2In3Hg8 | GGA-PBE | relaxed

The structure in CIF format:
```
data_Mg2In3Hg8
_chemical_formula_sum 'Mg2 In3 Hg8'
_cell_length_a 7.216
_cell_length_b 7.241
_cell_length_c 7.565
_cell_angle_alpha 75.07
_cell_angle_beta 75.17
_cell_angle_gamma 64.60
_space_group_name_H-M_alt 'P -1'
_space_group_IT_number 2
loop_
_space_group_symop_operation_xyz
'x,y,z'
'-x,-y,-z'
loop_
_atom_site_label
_atom_site_fract_x
_atom_site_fract_y
_atom_site_fract_z
Mg1 0.237 0.243 0.061
In1 0.000 0.000 0.500
In2 0.290 0.709 0.000
Hg1 0.136 0.135 0.756
Hg2 0.164 0.568 0.707
Hg3 0.345 0.345 0.362
Hg4 0.430 0.840 0.288
```

Results
**Energy of formation**: -22 meV per atom
**Calculated total energy**: -1.09 eV per atom

---

[8]
MgIn2Hg4 | GGA-PBE | relaxed

The structure in CIF format:
```
data_MgIn2Hg4
_chemical_formula_sum 'Mg2 In4 Hg8'
_cell_length_a 5.473
_cell_length_b 5.473
_cell_length_c 14.702
_cell_angle_alpha 90.00
_cell_angle_beta 90.00
_cell_angle_gamma 90.00
_space_group_name_H-M_alt 'I 4/m m m'
_space_group_IT_number 139
_space_group_name_Hall '-I 4 2'
loop_
_atom_site_label
_atom_site_fract_x
_atom_site_fract_y
_atom_site_fract_z
Mg1 0.000 0.000 0.000
In1 0.000 0.000 0.390
Hg1 0.000 0.000 0.192
Hg2 0.000 0.500 0.000
```

Results
**Energy of formation**: 95 meV per atom
**ΔE to the lowest computed polymorph**: 0.95 eV per formula unit
**Calculated total energy**: -1.09 eV per atom

---

[9]
Mg5InHg6 | GGA-PBE | relaxed

The structure in CIF format:
```
data_Mg5InHg6
_chemical_formula_sum 'Mg5 In1 Hg6'
_cell_length_a 4.921
_cell_length_b 7.449
_cell_length_c 7.657
_cell_angle_alpha 90.00
_cell_angle_beta 108.47
_cell_angle_gamma 90.00
_space_group_name_H-M_alt 'P 1 2/m 1'
_space_group_IT_number 10
loop_
_space_group_symop_operation_xyz
'x,y,z'
'-x,-y,-z'
'-x,y,-z'
'x,-y,z'
loop_
_atom_site_label
_atom_site_fract_x
_atom_site_fract_y
_atom_site_fract_z
Mg1 0.000 0.000 0.000
Mg2 0.331 0.000 0.669
Mg3 0.332 0.500 0.670
In1 0.000 0.500 0.000
Hg1 0.174 0.244 0.343
Hg2 0.500 0.238 0.000
```

Results
**Energy of formation**: -168 meV per atom
**Calculated total energy**: -1.21 eV per atom

---

[10]
Mg2InHg | GGA-PBE | relaxed

The structure in CIF format:
```
data_Mg2InHg
_chemical_formula_sum 'Mg4 In2 Hg2'
_cell_length_a 4.321
_cell_length_b 4.432
_cell_length_c 9.511
_cell_angle_alpha 90.00
_cell_angle_beta 90.00
_cell_angle_gamma 90.00
_space_group_name_H-M_alt 'I m m 2'
_space_group_IT_number 44
loop_
_space_group_symop_operation_xyz
'x,y,z'
'-x,-y,z'
'-x,y,z'
'x,-y,z'
'x+1/2,y+1/2,z+1/2'
'-x+1/2,-y+1/2,z+1/2'
'-x+1/2,y+1/2,z+1/2'
'x+1/2,-y+1/2,z+1/2'
loop_
_atom_site_label
_atom_site_fract_x
_atom_site_fract_y
_atom_site_fract_z
Mg1 0.000 0.000 0.000
Mg2 0.000 0.500 0.249
In1 0.000 0.000 0.497
Hg1 0.000 0.500 0.748
```

Results
**Energy of formation**: -115 meV per atom
**Calculated total energy**: -1.67 eV per atom

---

[11]
MgIn5Hg7 | GGA-PBE | relaxed

The structure in CIF format:
```
data_MgIn5Hg7
_chemical_formula_sum 'Mg4 In20 Hg28'
_cell_length_a 15.626
_cell_length_b 3.354
_cell_length_c 25.964
_cell_angle_alpha 90.00
_cell_angle_beta 94.39
_cell_angle_gamma 90.00
_space_group_name_H-M_alt 'C 1 m 1'
_space_group_IT_number 8
loop_
_space_group_symop_operation_xyz
'x,y,z'
'x,-y,z'
'x+1/2,y+1/2,z'
'x+1/2,-y+1/2,z'
loop_
_atom_site_label
_atom_site_fract_x
_atom_site_fract_y
_atom_site_fract_z
Mg1 0.000 0.000 0.000
Mg2 0.007 0.500 0.495
In1 0.071 0.000 0.288
In2 0.072 0.000 0.704
In3 0.169 0.000 0.936
In4 0.179 0.000 0.060
In5 0.253 0.500 0.248
In6 0.254 0.500 0.747
In7 0.328 0.000 0.435
In8 0.338 0.000 0.559
In9 0.435 0.000 0.791
In10 0.436 0.000 0.206
Hg1 0.018 0.000 0.401
Hg2 0.023 0.000 0.589
Hg3 0.115 0.000 0.821
Hg4 0.120 0.000 0.172
Hg5 0.166 0.000 0.497
Hg6 0.197 0.500 0.366
Hg7 0.204 0.500 0.625
Hg8 0.303 0.500 0.869
Hg9 0.310 0.500 0.129
Hg10 0.341 0.000 0.998
Hg11 0.387 0.000 0.322
Hg12 0.392 0.000 0.674
Hg13 0.483 0.000 0.906
Hg14 0.489 0.000 0.094
```

Results
**Energy of formation**: -4 meV per atom
**Calculated total energy**: -1.34 eV per atom

---

[12]
Mg2In2Hg | GGA-PBE | relaxed

The structure in CIF format:
```
data_Mg2In2Hg
_chemical_formula_sum 'Mg4 In4 Hg2'
_cell_length_a 8.395
_cell_length_b 8.395
_cell_length_c 3.588
_cell_angle_alpha 90.00
_cell_angle_beta 90.00
_cell_angle_gamma 90.00
_space_group_name_H-M_alt 'P 4/m b m'
_space_group_IT_number 127
_space_group_name_Hall '-P 4 2ab'
loop_
_atom_site_label
_atom_site_fract_x
_atom_site_fract_y
_atom_site_fract_z
Mg1 0.171 0.329 0.000
In1 0.130 0.630 0.500
Hg1 0.000 0.000 0.000
```

Results
**Energy of formation**: -19 meV per atom
**ΔE to the lowest computed polymorph**: 0.50 eV per formula unit
**Calculated total energy**: -1.81 eV per atom

---

[13]
Mg6In12Hg | GGA-PBE | relaxed

The structure in CIF format:
```
data_Mg6In12Hg
_chemical_formula_sum 'Mg18 In36 Hg3'
_cell_length_a 13.4826
_cell_length_b 13.4826
_cell_length_c 9.3259
_cell_angle_alpha 90.00
_cell_angle_beta 90.00
_cell_angle_gamma 120.00
_space_group_name_H-M_alt 'R -3'
_space_group_IT_number 148
_space_group_name_Hall '-R 3'
loop_
_atom_site_label
_atom_site_fract_x
_atom_site_fract_y
_atom_site_fract_z
Mg1 0.0833 0.1687 0.2637
In1 0.0004 0.2711 0.5010
In2 0.0941 0.5460 0.6047
Hg1 0.0000 0.0000 0.5000
```

Results
**Energy of formation**: -5 meV per atom
**ΔE to the lowest computed polymorph**: 0.34 eV per formula unit
**Calculated total energy**: -2.25 eV per atom

---

[14]
MgIn2Hg | GGA-PBE | relaxed

The structure in CIF format:
```
data_MgIn2Hg
_chemical_formula_sum 'Mg2 In4 Hg2'
_cell_length_a 4.621
_cell_length_b 4.621
_cell_length_c 9.123
_cell_angle_alpha 90.00
_cell_angle_beta 90.00
_cell_angle_gamma 90.00
_space_group_name_H-M_alt 'I -4 m 2'
_space_group_IT_number 119
_space_group_name_Hall 'I -4 -2'
loop_
_atom_site_label
_atom_site_fract_x
_atom_site_fract_y
_atom_site_fract_z
Mg1 0.000 0.000 0.000
In1 0.000 0.000 0.500
In2 0.000 0.500 0.250
Hg1 0.000 0.500 0.750
```

Results
**Energy of formation**: -45 meV per atom
**Calculated total energy**: -1.89 eV per atom

---

[15]
Mg3InHg5 | GGA-PBE | relaxed

The structure in CIF format:
```
data_Mg3InHg5
_chemical_formula_sum 'Mg6 In2 Hg10'
_cell_length_a 8.6848
_cell_length_b 8.6848
_cell_length_c 6.4350
_cell_angle_alpha 90.00
_cell_angle_beta 90.00
_cell_angle_gamma 120.00
_space_group_name_H-M_alt 'P 63/m c m'
_space_group_IT_number 193
_space_group_name_Hall '-P 6c 2'
loop_
_atom_site_label
_atom_site_fract_x
_atom_site_fract_y
_atom_site_fract_z
Mg1 0.0000 0.3568 0.2500
In1 0.0000 0.0000 0.0000
Hg1 0.0000 0.3146 0.7500
Hg2 0.3333 0.6667 0.0000
```

Results
**Energy of formation**: -104 meV per atom
**Calculated total energy**: -1.11 eV per atom

---

[16]
Mg2InHg | GGA-PBE | relaxed

The structure in CIF format:
```
data_Mg2InHg
_chemical_formula_sum 'Mg2 In1 Hg1'
_cell_length_a 3.731
_cell_length_b 4.139
_cell_length_c 6.027
_cell_angle_alpha 90.00
_cell_angle_beta 90.00
_cell_angle_gamma 90.00
_space_group_name_H-M_alt 'P m m 2'
_space_group_IT_number 25
loop_
_space_group_symop_operation_xyz
'x,y,z'
'-x,-y,z'
'-x,y,z'
'x,-y,z'
loop_
_atom_site_label
_atom_site_fract_x
_atom_site_fract_y
_atom_site_fract_z
Mg1 0.000 0.000 0.000
Mg2 0.500 0.500 0.277
In1 0.500 0.500 0.773
Hg1 0.000 0.000 0.487
```

Results
**Energy of formation**: -91 meV per atom
**Calculated total energy**: -1.65 eV per atom

---

[17]
MgIn4Hg15 | GGA-PBE | relaxed

The structure in CIF format:
```
data_MgIn4Hg15
_chemical_formula_sum 'Mg1 In4 Hg15'
_cell_length_a 4.433
_cell_length_b 4.433
_cell_length_c 26.347
_cell_angle_alpha 90.00
_cell_angle_beta 90.00
_cell_angle_gamma 90.00
_space_group_name_H-M_alt 'P 4/m m m'
_space_group_IT_number 123
_space_group_name_Hall '-P 4 2'
loop_
_atom_site_label
_atom_site_fract_x
_atom_site_fract_y
_atom_site_fract_z
Mg1 0.000 0.000 0.000
In1 0.000 0.000 0.185
In2 0.000 0.000 0.392
Hg1 0.000 0.500 0.091
Hg2 0.000 0.500 0.294
Hg3 0.000 0.500 0.500
Hg4 0.500 0.500 0.000
Hg5 0.500 0.500 0.199
Hg6 0.500 0.500 0.403
```

Results
**Energy of formation**: -9 meV per atom
**Calculated total energy**: -0.86 eV per atom

---

[18]
MgIn3Hg7 | GGA-PBE | relaxed

The structure in CIF format:
```
data_MgIn3Hg7
_chemical_formula_sum 'Mg2 In6 Hg14'
_cell_length_a 13.604
_cell_length_b 6.316
_cell_length_c 7.135
_cell_angle_alpha 90.00
_cell_angle_beta 106.03
_cell_angle_gamma 90.00
_space_group_name_H-M_alt 'C 1 m 1'
_space_group_IT_number 8
loop_
_space_group_symop_operation_xyz
'x,y,z'
'x,-y,z'
'x+1/2,y+1/2,z'
'x+1/2,-y+1/2,z'
loop_
_atom_site_label
_atom_site_fract_x
_atom_site_fract_y
_atom_site_fract_z
Mg1 0.000 0.000 0.000
In1 0.116 0.252 0.732
In2 0.489 0.000 0.010
Hg1 0.165 0.248 0.306
Hg2 0.285 0.500 0.053
Hg3 0.341 0.253 0.678
Hg4 0.385 0.000 0.323
Hg5 0.464 0.500 0.400
```

Results
**Energy of formation**: 4 meV per atom
**Calculated total energy**: -1.08 eV per atom

---

[19]
MgIn3Hg6 | GGA-PBE | relaxed

The structure in CIF format:
```
data_MgIn3Hg6
_chemical_formula_sum 'Mg4 In12 Hg24'
_cell_length_a 6.407
_cell_length_b 11.387
_cell_length_c 15.881
_cell_angle_alpha 90.00
_cell_angle_beta 90.00
_cell_angle_gamma 90.00
_space_group_name_H-M_alt 'F m m m'
_space_group_IT_number 69
_space_group_name_Hall '-F 2 2'
loop_
_atom_site_label
_atom_site_fract_x
_atom_site_fract_y
_atom_site_fract_z
Mg1 0.000 0.000 0.000
In1 0.000 0.000 0.500
In2 0.250 0.250 0.250
Hg1 0.000 0.244 0.000
Hg2 0.241 0.000 0.157
```

Results
**Energy of formation**: 44 meV per atom
**ΔE to the lowest computed polymorph**: 0.68 eV per formula unit
**Calculated total energy**: -1.12 eV per atom

---

[20]
Mg2InHg4 | GGA-PBE | relaxed

The structure in CIF format:
```
data_Mg2InHg4
_chemical_formula_sum 'Mg4 In2 Hg8'
_cell_length_a 7.043
_cell_length_b 9.890
_cell_length_c 4.954
_cell_angle_alpha 90.00
_cell_angle_beta 90.00
_cell_angle_gamma 90.00
_space_group_name_H-M_alt 'P b a m'
_space_group_IT_number 55
loop_
_space_group_symop_operation_xyz
'x,y,z'
'-x,-y,-z'
'-x,-y,z'
'x,y,-z'
'x+1/2,-y+1/2,-z'
'-x+1/2,y+1/2,z'
'-x+1/2,y+1/2,-z'
'x+1/2,-y+1/2,z'
loop_
_atom_site_label
_atom_site_fract_x
_atom_site_fract_y
_atom_site_fract_z
Mg1 0.001 0.234 0.000
In1 0.000 0.000 0.500
Hg1 0.212 0.500 0.000
Hg2 0.248 0.749 0.500
```

Results
**Energy of formation**: -97 meV per atom
**ΔE to the lowest computed polymorph**: 0.00 eV per formula unit
**Calculated total energy**: -1.12 eV per atom

---

[21]
Mg4InHg6 | GGA-PBE | relaxed

The structure in CIF format:
```
data_Mg4InHg6
_chemical_formula_sum 'Mg8 In2 Hg12'
_cell_length_a 6.929
_cell_length_b 6.929
_cell_length_c 11.831
_cell_angle_alpha 90.00
_cell_angle_beta 90.00
_cell_angle_gamma 90.00
_space_group_name_H-M_alt 'I -4 2 m'
_space_group_IT_number 121
_space_group_name_Hall 'I -4 2'
loop_
_atom_site_label
_atom_site_fract_x
_atom_site_fract_y
_atom_site_fract_z
Mg1 0.168 0.168 0.399
In1 0.000 0.000 0.000
Hg1 0.000 0.500 0.000
Hg2 0.243 0.243 0.676
```

Results
**Energy of formation**: -39 meV per atom
**Calculated total energy**: -1.03 eV per atom